Entry 1:
Li4Np3Te8 | PBE | relaxed

Geometry as CIF:
```
data_Li4Np3Te8
_chemical_formula_sum 'Li8 Np6 Te16'
_space_group_name_H-M_alt 'C 1 2/m 1'
_space_group_IT_number 12
_space_group_name_Hall '-C 2y'
_cell_length_a 11.9001
_cell_length_b 12.2085
_cell_length_c 8.4903
_cell_angle_alpha 90.00
_cell_angle_beta 133.39
_cell_angle_gamma 90.00
loop_
_atom_site_label
_atom_site_fract_x
_atom_site_fract_y
_atom_site_fract_z
_atom_site_occupancy
Li1 0.0000 0.0000 0.0000 1
Li2 0.0000 0.5000 0.5000 1
Li3 0.2500 0.2500 0.0000 1
Np1 0.0000 0.5000 0.0000 1
Np2 0.2500 0.2500 0.5000 1
Te1 0.0000 0.2469 0.0000 1
Te2 0.0000 0.2512 0.5000 1
Te3 0.2367 0.5000 0.9826 1
Te4 0.2406 0.0000 0.5024 1
```

Values from the calculation:
M_tot	17.9	Bohr magnetons per cell
energy relative to the elements, uncorrected	-673	meV per atom
calculated total energy	-5.45	eV per atom
D(E_F)	31.6	states/eV/f.u.

=====

Entry 2:
LiNp2Te5 | PBE | relaxed

Geometry as CIF:
```
data_LiNp2Te5
_chemical_formula_sum 'Li2 Np4 Te10'
_space_group_name_H-M_alt 'P b a m'
_space_group_IT_number 55
_space_group_name_Hall '-P 2 2ab'
_cell_length_a 8.0412
_cell_length_b 12.5932
_cell_length_c 4.3198
_cell_angle_alpha 90.00
_cell_angle_beta 90.00
_cell_angle_gamma 90.00
loop_
_atom_site_label
_atom_site_fract_x
_atom_site_fract_y
_atom_site_fract_z
_atom_site_occupancy
Li1 0.0000 0.0000 0.0000 1
Np1 0.0855 0.3262 0.5000 1
Te1 0.0000 0.5000 0.0000 1
Te2 0.1289 0.7968 0.0000 1
Te3 0.2131 0.0726 0.5000 1
```

Values from the calculation:
M_tot	15.0	Bohr magnetons per cell
energy relative to the elements, uncorrected	-582	meV per atom
calculated total energy	-6.02	eV per atom
D(E_F)	22.1	states/eV/f.u.